No. 1
{"formula": "SnW", "functional": "PBE-GGA", "state": "relaxed", "magmom_total_mub_per_fu": 0.00, "density_kg_m3": 11868, "ef_mev_per_atom": 579.2, "spacegroup": "P4/m", "cell": [[9.923, 0.000, 0.000], [0.000, 9.923, 0.000], [0.000, 0.000, 3.439]], "species": ["Sn", "Sn", "Sn", "Sn", "Sn", "Sn", "Sn", "Sn", "W", "W", "W", "W", "W", "W", "W", "W"], "frac_coords": [[0.043, 0.801, 0.000], [0.199, 0.043, 0.000], [0.214, 0.331, 0.500], [0.331, 0.786, 0.500], [0.669, 0.214, 0.500], [0.786, 0.669, 0.500], [0.801, 0.957, 0.000], [0.957, 0.199, 0.000], [0.105, 0.590, 0.500], [0.311, 0.548, 0.000], [0.410, 0.105, 0.500], [0.452, 0.311, 0.000], [0.548, 0.689, 0.000], [0.590, 0.895, 0.500], [0.689, 0.452, 0.000], [0.895, 0.410, 0.500]]}

=====

No. 2
{"formula": "SnW", "functional": "PBE-GGA", "state": "relaxed", "magmom_total_mub_per_fu": 0.00, "density_kg_m3": 13178, "ef_mev_per_atom": 668.8, "spacegroup": "Pmmn", "cell": [[3.232, 0.000, 0.000], [0.000, 14.263, 0.000], [0.000, 0.000, 4.963]], "species": ["Sn", "Sn", "Sn", "Sn", "Sn", "Sn", "W", "W", "W", "W", "W", "W"], "frac_coords": [[0.250, 0.086, 0.068], [0.250, 0.414, 0.068], [0.250, 0.750, 0.720], [0.750, 0.250, 0.280], [0.750, 0.586, 0.932], [0.750, 0.914, 0.932], [0.250, 0.250, 0.762], [0.250, 0.572, 0.434], [0.250, 0.928, 0.434], [0.750, 0.072, 0.566], [0.750, 0.428, 0.566], [0.750, 0.750, 0.238]]}

=====

No. 3
{"formula": "SnW", "functional": "PBE-GGA", "state": "relaxed", "magmom_total_mub_per_fu": 0.00, "density_kg_m3": 11842, "ef_mev_per_atom": 1404.2, "spacegroup": "Fm-3m", "cell": [[0.000, 2.768, 2.768], [2.768, 0.000, 2.768], [2.768, 2.768, 0.000]], "species": ["Sn", "W"], "frac_coords": [[0.000, 0.000, 0.000], [0.500, 0.500, 0.500]]}

=====

No. 4
{"formula": "Sn4W", "functional": "PBE-GGA", "state": "relaxed", "magmom_total_mub_per_fu": 0.00, "density_kg_m3": 7306, "ef_mev_per_atom": 572.4, "spacegroup": "Pm-3m", "cell": [[5.310, 0.000, 0.000], [0.000, 5.310, 0.000], [0.000, 0.000, 5.310]], "species": ["Sn", "Sn", "Sn", "Sn", "W"], "frac_coords": [[0.000, 0.000, 0.000], [0.000, 0.500, 0.500], [0.500, 0.000, 0.500], [0.500, 0.500, 0.000], [0.500, 0.500, 0.500]]}

=====

No. 5
{"formula": "SnW", "functional": "PBE-GGA", "state": "relaxed", "magmom_total_mub_per_fu": 0.00, "density_kg_m3": 12602, "ef_mev_per_atom": 579.7, "spacegroup": "P2_12_12_1", "cell": [[5.308, 0.000, 0.000], [0.000, 6.762, 0.000], [0.000, 0.000, 8.885]], "species": ["Sn", "Sn", "Sn", "Sn", "Sn", "Sn", "Sn", "Sn", "W", "W", "W", "W", "W", "W", "W", "W"], "frac_coords": [[0.080, 0.179, 0.233], [0.175, 0.430, 0.983], [0.325, 0.570, 0.483], [0.420, 0.821, 0.733], [0.580, 0.321, 0.767], [0.675, 0.070, 0.017], [0.825, 0.930, 0.517], [0.920, 0.679, 0.267], [0.089, 0.148, 0.753], [0.131, 0.843, 0.989], [0.369, 0.157, 0.489], [0.411, 0.852, 0.253], [0.589, 0.352, 0.247], [0.631, 0.657, 0.011], [0.869, 0.343, 0.511], [0.911, 0.648, 0.747]]}

=====

No. 6
{"formula": "SnW", "functional": "PBE-GGA", "state": "relaxed", "magmom_total_mub_per_fu": 0.00, "density_kg_m3": 10649, "ef_mev_per_atom": 1159.4, "spacegroup": "P4_2/mnm", "cell": [[5.880, 0.000, 0.000], [0.000, 5.880, 0.000], [0.000, 0.000, 5.458]], "species": ["Sn", "Sn", "Sn", "Sn", "W", "W", "W", "W"], "frac_coords": [[0.194, 0.194, 0.000], [0.306, 0.694, 0.500], [0.694, 0.306, 0.500], [0.806, 0.806, 0.000], [0.142, 0.142, 0.500], [0.358, 0.642, 0.000], [0.642, 0.358, 0.000], [0.858, 0.858, 0.500]]}

=====

No. 7
{"formula": "SnW", "functional": "PBE-GGA", "state": "relaxed", "magmom_total_mub_per_fu": 1.98, "density_kg_m3": 8178, "ef_mev_per_atom": 2096.7, "spacegroup": "F-43m", "cell": [[0.000, 3.132, 3.132], [3.132, 0.000, 3.132], [3.132, 3.132, 0.000]], "species": ["Sn", "W"], "frac_coords": [[0.000, 0.000, 0.000], [0.750, 0.750, 0.750]]}

=====

No. 8
{"formula": "SnW", "functional": "PBE-GGA", "state": "relaxed", "magmom_total_mub_per_fu": 0.00, "density_kg_m3": 9679, "ef_mev_per_atom": 1570.4, "spacegroup": "P6_3/mmc", "cell": [[4.709, 0.000, 0.000], [-2.354, 4.078, 0.000], [0.000, 0.000, 5.406]], "species": ["Sn", "Sn", "W", "W"], "frac_coords": [[0.333, 0.667, 0.250], [0.667, 0.333, 0.750], [0.333, 0.667, 0.750], [0.667, 0.333, 0.250]]}

=====

No. 9
{"formula": "SnW", "functional": "PBE-GGA", "state": "relaxed", "magmom_total_mub_per_fu": 0.00, "density_kg_m3": 10952, "ef_mev_per_atom": 441.0, "spacegroup": "P6_3/mmc", "cell": [[8.345, 0.000, 0.000], [-4.172, 7.227, 0.000], [0.000, 0.000, 4.564]], "species": ["Sn", "Sn", "Sn", "Sn", "Sn", "Sn", "W", "W", "W", "W", "W", "W"], "frac_coords": [[0.194, 0.389, 0.250], [0.194, 0.806, 0.250], [0.389, 0.194, 0.750], [0.611, 0.806, 0.250], [0.806, 0.194, 0.750], [0.806, 0.611, 0.750], [0.116, 0.558, 0.750], [0.442, 0.558, 0.750], [0.442, 0.884, 0.750], [0.558, 0.116, 0.250], [0.558, 0.442, 0.250], [0.884, 0.442, 0.250]]}

=====

No. 10
{"formula": "SnW", "functional": "PBE-GGA", "state": "relaxed", "magmom_total_mub_per_fu": 0.00, "density_kg_m3": 6672, "ef_mev_per_atom": 1194.1, "spacegroup": "I-43m", "cell": [[-4.223, 4.223, 4.223], [4.223, -4.223, 4.223], [4.223, 4.223, -4.223]], "species": ["Sn", "Sn", "Sn", "Sn", "W", "W", "W", "W"], "frac_coords": [[0.000, 0.000, 0.588], [0.000, 0.588, 0.000], [0.412, 0.412, 0.412], [0.588, 0.000, 0.000], [0.000, 0.000, 0.212], [0.000, 0.212, 0.000], [0.212, 0.000, 0.000], [0.788, 0.788, 0.788]]}

=====

No. 11
{"formula": "SnW", "functional": "PBE-GGA", "state": "relaxed", "magmom_total_mub_per_fu": 0.00, "density_kg_m3": 12269, "ef_mev_per_atom": 768.0, "spacegroup": "Fddd", "cell": [[0.000, 4.293, 7.520], [2.537, 0.000, 7.520], [2.537, 4.293, 0.000]], "species": ["Sn", "Sn", "Sn", "Sn", "W", "W", "W", "W"], "frac_coords": [[0.040, 0.710, 0.040], [0.290, 0.960, 0.290], [0.710, 0.040, 0.710], [0.960, 0.290, 0.960], [0.291, 0.291, 0.459], [0.459, 0.459, 0.291], [0.541, 0.541, 0.709], [0.709, 0.709, 0.541]]}

=====

No. 12
{"formula": "SnW", "functional": "PBE-GGA", "state": "relaxed", "magmom_total_mub_per_fu": 1.99, "density_kg_m3": 6716, "ef_mev_per_atom": 2127.8, "spacegroup": "Pm-3n", "cell": [[7.657, 0.000, 0.000], [0.000, 7.657, 0.000], [0.000, 0.000, 7.657]], "species": ["Sn", "Sn", "Sn", "Sn", "Sn", "Sn", "W", "W", "W", "W", "W", "W"], "frac_coords": [[0.000, 0.250, 0.500], [0.000, 0.750, 0.500], [0.250, 0.500, 0.000], [0.500, 0.000, 0.250], [0.500, 0.000, 0.750], [0.750, 0.500, 0.000], [0.000, 0.500, 0.250], [0.000, 0.500, 0.750], [0.250, 0.000, 0.500], [0.500, 0.250, 0.000], [0.500, 0.750, 0.000], [0.750, 0.000, 0.500]]}